The following is a DFT calculation (PBE) of a relaxed Nd2DyTh crystal.

Unit cell a=5.109 b=5.109 c=5.122 alpha=90.00 beta=90.00 gamma=90.00
Element x y z (fractional)
Nd (0.000, 0.500, 0.000)
Nd (0.500, 0.000, 0.000)
Dy (0.000, 0.000, 0.500)
Th (0.500, 0.500, 0.500)

Values from the calculation:
Energy relative to the lowest polymorph listed for this composition: 23.2 meV/atom
E_tot: -5.336 eV per atom
Total magnetization: 0.000 μB/f.u.

The following is a DFT calculation (PBE) of a relaxed Nd6Dy8Th crystal.

Unit cell a=8.742 b=8.742 c=8.742 alpha=63.01 beta=63.01 gamma=63.01
Element x y z (fractional)
Nd (0.038, 0.601, 0.730)
Nd (0.270, 0.962, 0.399)
Nd (0.399, 0.270, 0.962)
Nd (0.601, 0.730, 0.038)
Nd (0.730, 0.038, 0.601)
Nd (0.962, 0.399, 0.270)
Dy (0.077, 0.077, 0.077)
Dy (0.215, 0.613, 0.255)
Dy (0.255, 0.215, 0.613)
Dy (0.387, 0.745, 0.785)
Dy (0.613, 0.255, 0.215)
Dy (0.745, 0.785, 0.387)
Dy (0.785, 0.387, 0.745)
Dy (0.923, 0.923, 0.923)
Th (0.500, 0.500, 0.500)

Values from the calculation:
E_tot: -4.736 eV per atom
Total magnetization: 0.000 μB/f.u.